Model one:
Computed, not measured: a geometry-optimized PrNdY2 structure at the PBE level of DFT.

abc: 6.3046 3.6644 11.9859
angles: 90.00 100.10 90.00
With the nearest neighbours (Å) after each atom.
Space group Pm (No. 6)
One atom of each set of equivalent atoms:
Pr (0.0000, 0.0000, 0.0000) (multiplicity 1)  7 Y 3.61-3.65, 2 Nd 3.62, 3 Pr 3.63-3.66
Pr (0.4178, 0.0000, 0.2504) (multiplicity 1)  7 Y 3.62-3.65, 3 Pr 3.63-3.66, 2 Nd 3.65
Nd (0.3339, 0.5000, 0.5022) (multiplicity 1)  3 Nd 3.61-3.66, 7 Y 3.62-3.65, 2 Pr 3.65
Nd (0.7514, 0.5000, 0.7504) (multiplicity 1)  7 Y 3.60-3.65, 3 Nd 3.61-3.66, 2 Pr 3.62
Y (0.2516, 0.0000, 0.7520) (multiplicity 1)  5 Y 3.59-3.66, 1 Pr 3.61, 6 Nd 3.62-3.65
Y (0.5004, 0.5000, 0.9984) (multiplicity 1)  5 Y 3.59-3.66, 1 Nd 3.60, 6 Pr 3.64-3.65
Y (0.8329, 0.0000, 0.5002) (multiplicity 1)  5 Y 3.61-3.66, 1 Pr 3.62, 6 Nd 3.63-3.65
Y (0.9182, 0.5000, 0.2524) (multiplicity 1)  5 Y 3.61-3.66, 1 Nd 3.62, 6 Pr 3.64-3.65

Calculated density   5.6 g cm⁻³

Model two:
Computed, not measured: a geometry-optimized PrNdY2 structure at the PBE level of DFT.

abc: 3.6442 3.6442 10.2248
angles: 90.00 90.00 90.00
With the nearest neighbours (Å) after each atom.
Space group P4/mmm (No. 123)
One atom of each set of equivalent atoms:
Pr (0.0000, 0.0000, 0.0000) (multiplicity 1)  8 Y 3.64, 4 Pr 3.64
Nd (0.0000, 0.0000, 0.5000) (multiplicity 1)  8 Y 3.62, 4 Nd 3.64
Y (0.5000, 0.5000, 0.2513) (multiplicity 2)  4 Nd 3.62, 4 Pr 3.64, 4 Y 3.64

Calculated density   5.7 g cm⁻³

Most stable: model one (next structure +0.6 kJ/mol of atoms)

Model one:
Computed, not measured: a geometry-optimized Pr5Nd3Y3 structure at the PBE level of DFT.

abc: 9.8599 9.8599 5.5782
angles: 90.00 90.00 120.00
With the nearest neighbours (Å) after each atom.
Space group P-62m (No. 189)
One atom of each set of equivalent atoms:
Pr (0.0000, 0.2683, 0.0000) (multiplicity 3)  2 Nd 3.19, 2 Y 3.41
Pr (0.3333, 0.6667, 0.0000) (multiplicity 2)  3 Nd 3.17
Nd (0.0000, 0.6414, 0.0000) (multiplicity 3)  4 Pr 3.17-3.19, 2 Y 3.28
Y (0.0000, 0.4668, 0.5000) (multiplicity 3)  2 Nd 3.28, 2 Pr 3.41

Calculated density   5.0 g cm⁻³

Model two:
Computed, not measured: a geometry-optimized Pr5Nd3Y3 structure at the PBE level of DFT.

abc: 11.5035 11.5035 3.4869
angles: 90.00 90.00 120.00
With the nearest neighbours (Å) after each atom.
Space group P-62m (No. 189)
One atom of each set of equivalent atoms:
Pr (0.0000, 0.6621, 0.0000) (multiplicity 3)  2 Y 3.37, 2 Nd 3.44, 2 Pr 3.49
Pr (0.3333, 0.6667, 0.0000) (multiplicity 2)  5 Pr 3.49-3.81
Nd (0.0000, 0.4044, 0.5000) (multiplicity 3)  2 Y 3.31, 2 Pr 3.44, 2 Nd 3.49
Y (0.0000, 0.1603, 0.0000) (multiplicity 3)  4 Y 3.19-3.49, 2 Nd 3.31, 2 Pr 3.37

Calculated density   5.8 g cm⁻³

Most stable: model two (next structure +41.8 kJ/mol of atoms)

Model one:
Computed, not measured: a geometry-optimized PrNdY3 structure at the PBE level of DFT.

abc: 6.5846 6.6009 9.6492
angles: 71.22 89.44 60.24
With the nearest neighbours (Å) after each atom.
Space group P-1 (No. 2)
One atom of each set of equivalent atoms:
Pr (0.0000, 0.0000, 0.0000) (multiplicity 1)  2 Nd 3.42, 6 Y 3.44-3.81
Pr (0.5000, 0.0000, 0.5000) (multiplicity 1)  2 Nd 3.17, 4 Y 3.30-3.33
Nd (0.1551, 0.2858, 0.6915) (multiplicity 2)  2 Pr 3.17-3.42, 4 Y 3.37-3.46
Y (0.0003, 0.1420, 0.3132) (multiplicity 2)  2 Pr 3.30-3.44, 2 Nd 3.37-3.46, 4 Y 3.40-3.67
Y (0.3434, 0.3105, 0.0466) (multiplicity 2)  7 Y 3.64-3.98, 2 Nd 3.69-3.73, 3 Pr 3.81-3.85
Y (0.4252, 0.5598, 0.3131) (multiplicity 2)  2 Pr 3.33-3.44, 2 Nd 3.38-3.43, 4 Y 3.40-3.64

Calculated density   5.4 g cm⁻³

Model two:
Computed, not measured: a geometry-optimized PrNdY3 structure at the PBE level of DFT.

abc: 3.6909 11.6820 8.5756
angles: 90.00 101.10 90.00
With the nearest neighbours (Å) after each atom.
Space group P2_1/m (No. 11)
One atom of each set of equivalent atoms:
Pr (0.1316, 0.2500, 0.4871) (multiplicity 2)  1 Nd 3.24, 2 Y 3.25-3.51
Nd (0.3617, 0.2500, 0.1404) (multiplicity 2)  6 Y 3.24-3.60, 1 Pr 3.24
Y (0.1708, 0.0006, 0.8102) (multiplicity 4)  6 Y 3.37-3.71, 2 Nd 3.38-3.60
Y (0.2831, 0.7500, 0.1770) (multiplicity 2)  2 Nd 3.24-3.25, 2 Pr 3.25-3.51, 4 Y 3.37-3.53

Calculated density   5.1 g cm⁻³

Most stable: model one (next structure +12.5 kJ/mol of atoms)

Model one:
Computed, not measured: a geometry-optimized Pr5NdY3 structure at the PBE level of DFT.

abc: 12.0551 11.5849 11.6656
angles: 90.00 118.54 90.00
With the nearest neighbours (Å) after each atom.
Space group C2/m (No. 12)
One atom of each set of equivalent atoms:
Pr (0.0000, 0.2333, 0.0000) (multiplicity 4)  1 Y 3.09
Pr (0.0066, 0.0000, 0.3734) (multiplicity 4)  2 Pr 3.03-3.10, 2 Y 3.13-3.33
Pr (0.1867, 0.0000, 0.9217) (multiplicity 4)  1 Pr 3.10, 1 Nd 3.13, 1 Y 3.44
Pr (0.1960, 0.2577, 0.6427) (multiplicity 8)  3 Y 3.22-3.53
Nd (0.0872, 0.5000, 0.7939) (multiplicity 4)  4 Y 3.05-3.17, 1 Pr 3.13
Y (0.0000, 0.5000, 0.0000) (multiplicity 2)  2 Nd 3.05, 2 Pr 3.09
Y (0.0000, 0.5000, 0.5000) (multiplicity 2)  2 Nd 3.07
Y (0.1518, 0.0000, 0.2112) (multiplicity 4)  3 Pr 3.13-3.34, 1 Nd 3.17
Y (0.2077, 0.5000, 0.3655) (multiplicity 4)  1 Nd 3.13, 3 Pr 3.22-3.33

Calculated density   5.2 g cm⁻³

Model two:
Computed, not measured: a geometry-optimized Pr5NdY3 structure at the PBE level of DFT.

abc: 18.8865 6.5660 11.5421
angles: 90.00 113.89 90.00
With the nearest neighbours (Å) after each atom.
Space group C2/c (No. 15)
One atom of each set of equivalent atoms:
Pr (0.0000, 0.0975, 0.2500) (multiplicity 4)  1 Nd 3.05, 2 Pr 3.27
Pr (0.1688, 0.2016, 0.7103) (multiplicity 8)  4 Y 3.44-3.69, 2 Pr 3.50-3.59, 1 Nd 3.57
Pr (0.1691, 0.3232, 0.3636) (multiplicity 8)  4 Pr 3.27-3.59, 1 Nd 3.56, 1 Y 3.61
Nd (0.0000, 0.3674, 0.7500) (multiplicity 4)  2 Y 3.01, 1 Pr 3.05
Y (0.0000, 0.5000, 0.0000) (multiplicity 4)  2 Nd 3.01
Y (0.1600, 0.2012, 0.0138) (multiplicity 8)  5 Pr 3.44-3.85, 1 Nd 3.48, 2 Y 3.55-3.60

Calculated density   5.7 g cm⁻³

Most stable: model two (next structure +27.5 kJ/mol of atoms)

Model one:
Computed, not measured: a geometry-optimized PrNd7Y12 structure at the PBE level of DFT.

abc: 13.0330 13.0330 13.8456
angles: 90.00 90.00 120.00
With the nearest neighbours (Å) after each atom.
Space group R-3 (No. 148, hexagonal axes)
One atom of each set of equivalent atoms:
Pr (0.0000, 0.0000, 0.0000) (multiplicity 3)  6 Nd 3.15
Nd (0.0000, 0.0000, 0.5000) (multiplicity 3)  6 Y 3.12
Nd (0.0680, 0.8656, 0.8461) (multiplicity 18)  2 Y 3.10-3.44, 1 Nd 3.10, 1 Pr 3.15
Y (0.0017, 0.4348, 0.2493) (multiplicity 18)  3 Y 3.40-3.58, 4 Nd 3.44-3.79
Y (0.0675, 0.2010, 0.3488) (multiplicity 18)  2 Nd 3.10-3.12, 2 Y 3.14-3.40

Calculated density   5.4 g cm⁻³

Model two:
Computed, not measured: a geometry-optimized PrNd7Y12 structure at the PBE level of DFT.

abc: 11.3782 11.3782 11.3782
angles: 90.00 90.00 90.00
With the nearest neighbours (Å) after each atom.
Space group Im-3m (No. 229)
One atom of each set of equivalent atoms:
Pr (0.0000, 0.0000, 0.0000) (multiplicity 2)  12 Y 4.03
Nd (0.0000, 0.0000, 0.5000) (multiplicity 6)  12 Y 4.02
Nd (0.2500, 0.2500, 0.2500) (multiplicity 8)  6 Y 2.84
Y (0.0000, 0.2504, 0.2504) (multiplicity 24)  2 Nd 2.84

Calculated density   5.0 g cm⁻³

Most stable: model one (next structure +33.3 kJ/mol of atoms)

Model one:
Computed, not measured: a geometry-optimized Pr7Nd4Y structure at the PBE level of DFT.

abc: 12.3145 6.1781 13.0893
angles: 90.00 117.77 90.00
With the nearest neighbours (Å) after each atom.
Space group C2/m (No. 12)
One atom of each set of equivalent atoms:
Pr (0.0000, 0.0000, 0.0000) (multiplicity 2)  2 Y 3.09, 2 Pr 3.18
Pr (0.1313, 0.5000, 0.5006) (multiplicity 4)  2 Pr 3.23-3.37, 3 Nd 3.39-3.61
Pr (0.2086, 0.0000, 0.9213) (multiplicity 4)  2 Pr 3.18-3.37, 1 Y 3.24, 4 Nd 3.38-3.51
Pr (0.2451, 0.0000, 0.6815) (multiplicity 4)  4 Pr 3.37-3.74, 1 Nd 3.74
Nd (0.0614, 0.0000, 0.3248) (multiplicity 4)  5 Pr 3.38-3.74, 2 Nd 3.76
Nd (0.1346, 0.5000, 0.7775) (multiplicity 4)  7 Pr 3.49-3.82, 2 Nd 3.76
Y (0.0000, 0.5000, 0.0000) (multiplicity 2)  4 Pr 3.09-3.24

Calculated density   6.2 g cm⁻³

Model two:
Computed, not measured: a geometry-optimized Pr7Nd4Y structure at the PBE level of DFT.

abc: 6.4365 7.4402 9.2171
angles: 89.96 76.50 89.99
With the nearest neighbours (Å) after each atom.
Space group P-1 (No. 2)
One atom of each set of equivalent atoms:
Pr (0.0000, 0.0000, 0.0000) (multiplicity 1)  4 Nd 3.66-3.68, 6 Pr 3.66-3.72, 2 Y 3.72
Pr (0.2227, 0.5000, 0.3326) (multiplicity 2)  6 Pr 3.67-3.72, 1 Y 3.68, 5 Nd 3.71-3.72
Pr (0.2774, 0.2498, 0.6691) (multiplicity 2)  5 Pr 3.66-3.72, 1 Y 3.66, 6 Nd 3.70-3.72
Pr (0.5002, 0.2505, 0.0003) (multiplicity 2)  3 Nd 3.65-3.67, 7 Pr 3.66-3.73, 2 Y 3.71-3.72
Nd (0.2234, 0.0001, 0.3324) (multiplicity 2)  8 Pr 3.67-3.72, 4 Nd 3.70-3.72
Nd (0.2769, 0.7499, 0.6697) (multiplicity 2)  8 Pr 3.65-3.72, 1 Y 3.66, 3 Nd 3.71-3.72
Y (0.0000, 0.5000, 0.0000) (multiplicity 1)  2 Nd 3.66, 10 Pr 3.66-3.72

Calculated density   6.4 g cm⁻³

Most stable: model two (next structure +21.6 kJ/mol of atoms)

Model one:
Computed, not measured: a geometry-optimized PrNd3Y structure at the PBE level of DFT.

abc: 19.0392 3.6652 10.3908
angles: 90.00 105.79 90.00
With the nearest neighbours (Å) after each atom.
Space group C2/m (No. 12)
One atom of each set of equivalent atoms:
Pr (0.1006, 0.0000, 0.0512) (multiplicity 4)  7 Nd 3.64-3.69, 3 Pr 3.67-3.68, 2 Y 3.68
Nd (0.0005, 0.5000, 0.2513) (multiplicity 4)  7 Nd 3.66-3.69, 1 Y 3.67, 4 Pr 3.67-3.69
Nd (0.1010, 0.0000, 0.5494) (multiplicity 4)  3 Y 3.63-3.64, 9 Nd 3.66-3.70
Nd (0.2009, 0.5000, 0.8482) (multiplicity 4)  3 Pr 3.64-3.69, 2 Y 3.65, 7 Nd 3.66-3.69
Y (0.2006, 0.5000, 0.3526) (multiplicity 4)  4 Y 3.63-3.67, 6 Nd 3.63-3.67, 2 Pr 3.68

Calculated density   6.3 g cm⁻³

Model two:
Computed, not measured: a geometry-optimized PrNd3Y structure at the PBE level of DFT.

abc: 6.0192 6.5464 10.0822
angles: 86.71 89.18 64.25
With the nearest neighbours (Å) after each atom.
Space group P-1 (No. 2)
One atom of each set of equivalent atoms:
Pr (0.0346, 0.2910, 0.1044) (multiplicity 2)  1 Pr 3.24, 5 Nd 3.29-3.57, 1 Y 3.34
Nd (0.1229, 0.2008, 0.7360) (multiplicity 2)  2 Pr 3.52-3.79, 3 Y 3.52-3.75, 5 Nd 3.60-3.93
Nd (0.4261, 0.7678, 0.0463) (multiplicity 2)  4 Pr 3.29-3.66, 4 Nd 3.41-3.60
Nd (0.4514, 0.5978, 0.6625) (multiplicity 2)  5 Nd 3.53-3.93, 1 Pr 3.57, 4 Y 3.58-3.87
Y (0.2393, 0.0411, 0.4052) (multiplicity 2)  1 Pr 3.34, 2 Y 3.52-3.65, 4 Nd 3.52-3.62

Calculated density   6.2 g cm⁻³

Most stable: model one (next structure +15.1 kJ/mol of atoms)

Model one:
Computed, not measured: a geometry-optimized PrNd6Y4 structure at the PBE level of DFT.

abc: 6.6110 6.6110 17.7148
angles: 90.00 90.00 90.00
With the nearest neighbours (Å) after each atom.
Space group I-42m (No. 121)
One atom of each set of equivalent atoms:
Pr (0.0000, 0.0000, 0.0000) (multiplicity 2)  4 Nd 3.31, 4 Y 3.61
Nd (0.0000, 0.5000, 0.0000) (multiplicity 4)  2 Pr 3.31, 4 Nd 3.38
Nd (0.1780, 0.1780, 0.6328) (multiplicity 8)  3 Nd 3.33-3.38, 5 Y 3.35-3.57
Y (0.1860, 0.1860, 0.8217) (multiplicity 8)  5 Nd 3.35-3.57, 1 Y 3.48, 1 Pr 3.61

Calculated density   5.8 g cm⁻³

Model two:
Computed, not measured: a geometry-optimized PrNd6Y4 structure at the PBE level of DFT.

abc: 11.2244 11.2244 3.6035
angles: 90.00 90.00 120.00
With the nearest neighbours (Å) after each atom.
Space group P-6m2 (No. 187)
One atom of each set of equivalent atoms:
Pr (0.0000, 0.0000, 0.0000) (multiplicity 1)  2 Pr 3.60, 6 Y 3.67, 6 Nd 3.95
Nd (0.1811, 0.3621, 0.5000) (multiplicity 3)  4 Y 3.37-3.47, 2 Nd 3.60
Nd (0.5189, 0.0378, 0.0000) (multiplicity 3)  5 Y 3.59-3.61, 6 Nd 3.60-3.79
Y (0.3285, 0.1642, 0.5000) (multiplicity 3)  6 Nd 3.37-3.59, 2 Y 3.60, 2 Pr 3.67
Y (0.3333, 0.6667, 0.0000) (multiplicity 1)  9 Nd 3.47-3.61, 2 Y 3.60

Calculated density   5.8 g cm⁻³

Most stable: model two (next structure +12.1 kJ/mol of atoms)